Compound: Ba2SrAg
Source: Alexandria via LeMat-Bulk
Functional: meta-GGA SCAN
Structure: PBEsol geometry

Summary:
**Space group**: No. 44
**Mass density**: 4.53 g/cm³
**Calculated formation energy**: -0.085 eV per atom
**Relative energy among the computed polymorphs**: 39 meV per atom

abc: 4.1510 6.2962 7.6005
angles: 114.47 105.85 90.00
Element x y z (fractional)
Sr: 0.5621 0.0621 0.1243
Ba: 0.9405 0.4405 0.8811
Ba: 0.7519 0.7519 0.5038
Ag: 0.2455 0.2455 0.4909


Compound: Tl2PbAu
Source: Alexandria via LeMat-Bulk
Functional: meta-GGA SCAN
Structure: PBEsol geometry

Summary:
**Space group**: No. 8
**Mass density**: 12.78 g/cm³
**Calculated formation energy**: -0.004 eV per atom

abc: 3.5425 6.0176 6.4060
angles: 124.17 90.00 107.12
Element x y z (fractional)
Pb: 0.1954 0.3908 0.6030
Tl: 0.9887 0.9774 0.9984
Tl: 0.8007 0.6014 0.2310
Au: 0.5152 0.0305 0.6676


Compound: Li3CuSbO5
Source: Alexandria via LeMat-Bulk
Functional: meta-GGA SCAN
Structure: PBEsol geometry

Summary:
**Space group**: No. 1
**Formation energy without anion corrections**: -1.7844 eV/atom
**Mass density**: 4.92 g/cm³

abc: 5.1391 5.4242 7.7373
angles: 104.34 103.10 104.06
Each line ends with the local moment (μB).
Element x y z (fractional)
Li: 0.2201 0.8825 0.3664  0.00
Li: 0.4187 0.2990 0.8129  0.00
Li: 0.4986 0.4775 0.4927  0.00
Li: 0.2878 0.1277 0.1042  0.00
Li: 0.5935 0.7011 0.1971  0.00
Li: 0.7785 0.1057 0.6133  0.00
Cu: 0.0060 0.4986 0.0005  -0.63
Cu: 0.7086 0.8929 0.9045  0.65
Sb: 0.1091 0.7008 0.7016  0.00
Sb: 0.8859 0.2962 0.2964  0.00
O: 0.0520 0.0374 0.8286  0.07
O: 0.3457 0.6782 0.9389  0.00
O: 0.1434 0.3400 0.5511  0.00
O: 0.2230 0.5023 0.2397  -0.07
O: 0.4629 0.8886 0.6692  0.07
O: 0.5532 0.1173 0.3511  0.00
O: 0.7888 0.4792 0.7580  -0.06
O: 0.8687 0.6665 0.4478  0.00
O: 0.6679 0.3461 0.0689  -0.08
O: 0.9326 0.9546 0.1635  0.06


Compound: LaTiCo3
Source: Alexandria via LeMat-Bulk
Functional: meta-GGA SCAN
Structure: PBEsol geometry

Summary:
**Space group**: No. 221
**Mass density**: 7.27 g/cm³
**Calculated formation energy**: 0.515 eV per atom

abc: 4.3624 4.3624 4.3624
angles: 90.00 90.00 90.00
Element x y z (fractional)
Ti: 0.0000 0.0000 0.0000
Co: 0.0000 0.5000 0.0000
Co: 0.0000 0.0000 0.5000
Co: 0.5000 0.0000 0.0000
La: 0.5000 0.5000 0.5000


Compound: AlCd2Se
Source: Alexandria via LeMat-Bulk
Functional: meta-GGA SCAN
Structure: PBEsol geometry

Summary:
**Space group**: No. 225
**Formation energy without anion corrections**: 0.2764 eV/atom
**Mass density**: 6.36 g/cm³
**Relative energy among the computed polymorphs**: 514 meV per atom

abc: 4.9624 4.9624 4.9624
angles: 60.00 60.00 60.00
Element x y z (fractional)
Al: 0.0000 0.0000 0.0000
Se: 0.5000 0.5000 0.5000
Cd: 0.2500 0.2500 0.2500
Cd: 0.7500 0.7500 0.7500


Compound: Be4CoIr
Source: Alexandria via LeMat-Bulk
Functional: meta-GGA SCAN
Structure: PBEsol geometry

Summary:
**Space group**: No. 216
**Mass density**: 9.03 g/cm³
**Calculated formation energy**: -0.444 eV per atom

abc: 4.2110 4.2110 4.2110
angles: 60.00 60.00 60.00
Each line ends with the local moment (μB).
Element x y z (fractional)
Be: 0.3754 0.3754 0.3754  -0.01
Be: 0.3754 0.3754 0.8739  -0.01
Be: 0.8739 0.3754 0.3754  -0.01
Be: 0.3754 0.8739 0.3754  -0.01
Ir: 0.0000 0.0000 0.0000  0.04
Co: 0.7500 0.7500 0.7500  0.53


Compound: TiAlSnP2
Source: Alexandria via LeMat-Bulk
Functional: meta-GGA SCAN
Structure: PBEsol geometry

Summary:
**Space group**: No. 123
**Mass density**: 3.78 g/cm³
**Calculated formation energy**: 0.330 eV per atom

abc: 4.6150 4.6150 5.2719
angles: 90.00 90.00 90.00
Element x y z (fractional)
P: 0.0000 0.5000 0.0000
P: 0.5000 0.0000 0.0000
Al: 0.5000 0.5000 0.5000
Sn: 0.0000 0.0000 0.5000
Ti: 0.0000 0.0000 0.0000


Compound: Ni2Pt
Source: Alexandria via LeMat-Bulk
Functional: meta-GGA SCAN
Structure: PBEsol geometry

Summary:
**Space group**: No. 10
**Mass density**: 14.26 g/cm³
**Calculated formation energy**: -0.091 eV per atom

abc: 2.6376 6.2875 8.7746
angles: 90.95 90.00 90.00
Each line ends with the local moment (μB).
Element x y z (fractional)
Ni: 0.0000 0.3236 0.3221  0.97
Ni: 0.5000 0.0003 0.2456  0.88
Ni: 0.0000 0.6552 0.1520  1.00
Ni: 0.5000 0.3379 0.0849  0.89
Ni: 0.5000 0.6621 0.9151  0.89
Ni: 0.0000 0.3448 0.8480  1.00
Ni: 0.5000 0.9997 0.7544  0.88
Ni: 0.0000 0.6764 0.6779  0.97
Pt: 0.0000 0.0000 0.0000  0.31
Pt: 0.5000 0.3441 0.5990  0.28
Pt: 0.0000 0.0000 0.5000  0.20
Pt: 0.5000 0.6559 0.4010  0.28


Compound: SrFe3Au
Source: Alexandria via LeMat-Bulk
Functional: meta-GGA SCAN
Structure: PBEsol geometry

Summary:
**Space group**: No. 221
**Mass density**: 6.79 g/cm³
**Calculated formation energy**: 0.622 eV per atom

abc: 4.7999 4.7999 4.7999
angles: 90.00 90.00 90.00
Each line ends with the local moment (μB).
Element x y z (fractional)
Sr: 0.5000 0.5000 0.5000  -0.12
Au: 0.0000 0.0000 0.0000  0.12
Fe: 0.0000 0.5000 0.0000  3.19
Fe: 0.0000 0.0000 0.5000  3.19
Fe: 0.5000 0.0000 0.0000  3.19


Compound: CaSi4SnO10
Source: Alexandria via LeMat-Bulk
Functional: meta-GGA SCAN
Structure: PBEsol geometry

Summary:
**Space group**: No. 130
**Formation energy without anion corrections**: -2.8594 eV/atom
**Mass density**: 3.26 g/cm³

abc: 7.4579 7.4579 15.7864
angles: 90.00 90.00 90.00
Element x y z (fractional)
Ca: 0.5000 0.5000 0.5000
Ca: 0.0000 0.0000 0.5000
Ca: 0.0000 0.0000 0.0000
Ca: 0.5000 0.5000 0.0000
Si: 0.1625 0.2466 0.6517
Si: 0.8375 0.7534 0.6517
Si: 0.2466 0.1625 0.8483
Si: 0.7466 0.3375 0.6517
Si: 0.2534 0.6625 0.6517
Si: 0.3375 0.7466 0.8483
Si: 0.6625 0.2534 0.8483
Si: 0.7534 0.8375 0.8483
Si: 0.3375 0.2534 0.3483
Si: 0.6625 0.7466 0.3483
Si: 0.2534 0.3375 0.1517
Si: 0.7534 0.1625 0.3483
Si: 0.2466 0.8375 0.3483
Si: 0.1625 0.7534 0.1517
Si: 0.8375 0.2466 0.1517
Si: 0.7466 0.6625 0.1517
Sn: 0.5000 0.0000 0.5348
Sn: 0.0000 0.5000 0.9652
Sn: 0.0000 0.5000 0.4652
Sn: 0.5000 0.0000 0.0348
O: 0.2354 0.1006 0.5851
O: 0.7646 0.8994 0.5851
O: 0.1006 0.2354 0.9149
O: 0.6006 0.2646 0.5851
O: 0.3994 0.7354 0.5851
O: 0.2646 0.6006 0.9149
O: 0.7354 0.3994 0.9149
O: 0.8994 0.7646 0.9149
O: 0.2646 0.3994 0.4149
O: 0.7354 0.6006 0.4149
O: 0.3994 0.2646 0.0851
O: 0.8994 0.2354 0.4149
O: 0.1006 0.7646 0.4149
O: 0.2354 0.8994 0.0851
O: 0.7646 0.1006 0.0851
O: 0.2522 0.0547 0.3664
O: 0.6006 0.7354 0.0851
O: 0.7522 0.5547 0.6336
O: 0.4453 0.2478 0.8664
O: 0.9453 0.2522 0.6336
O: 0.0547 0.7478 0.6336
O: 0.2522 0.9453 0.8664
O: 0.7478 0.0547 0.8664
O: 0.5547 0.7522 0.8664
O: 0.6963 0.6963 0.2500
O: 0.8037 0.1963 0.2500
O: 0.1963 0.8037 0.2500
O: 0.3037 0.3037 0.2500
O: 0.8037 0.8037 0.7500
O: 0.6963 0.3037 0.7500
O: 0.3037 0.6963 0.7500
O: 0.1963 0.1963 0.7500
O: 0.9453 0.7478 0.1336
O: 0.7522 0.4453 0.1336
O: 0.2478 0.5547 0.1336
O: 0.4453 0.7522 0.3664
O: 0.5547 0.2478 0.3664
O: 0.0547 0.2522 0.1336
O: 0.7478 0.9453 0.3664
O: 0.2478 0.4453 0.6336


Compound: AgGeSbI2
Source: Alexandria via LeMat-Bulk
Functional: meta-GGA SCAN
Structure: PBEsol geometry

Summary:
**Space group**: No. 123
**Formation energy without anion corrections**: 0.5739 eV/atom
**Mass density**: 5.57 g/cm³

abc: 5.4108 5.5354 5.5354
angles: 90.00 90.00 90.00
Each line ends with the local moment (μB).
Element x y z (fractional)
I: 0.0000 0.0000 0.5000  0.07
I: 0.0000 0.5000 0.0000  0.07
Sb: 0.5000 0.0000 0.0000  0.36
Ge: 0.0000 0.0000 0.0000  0.00
Ag: 0.5000 0.5000 0.5000  0.02


Compound: CrMo2
Source: Alexandria via LeMat-Bulk
Functional: meta-GGA SCAN
Structure: PBEsol geometry

Summary:
**Space group**: No. 227
**Mass density**: 8.70 g/cm³
**Calculated formation energy**: 0.462 eV per atom
**Relative energy among the computed polymorphs**: 393 meV per atom

abc: 5.0866 5.0866 5.0866
angles: 60.00 60.00 60.00
Each line ends with the local moment (μB).
Element x y z (fractional)
Cr: 0.7500 0.7500 0.7500  2.97
Cr: 0.5000 0.5000 0.5000  2.97
Mo: 0.1250 0.6250 0.1250  -0.37
Mo: 0.1250 0.1250 0.1250  -0.37
Mo: 0.1250 0.1250 0.6250  -0.37
Mo: 0.6250 0.1250 0.1250  -0.37